1.
# AsRhW2

AsRhW2 after structural relaxation (GGA-PBE, Alexandria).

Cell lengths 9.107, 9.107, 9.107 Å; angles 17.99, 17.99, 17.99 degrees
Positions (direct):
Rh1 0.751 0.751 0.751
W1 0.247 0.247 0.247
W2 0.004 0.004 0.004
As1 0.499 0.499 0.499

Output
**Energy relative to the elements**: 0.175 eV/atom
**SG**: R3m (160)

***

2.
# AsRhW2

AsRhW2 after structural relaxation (GGA-PBE, Alexandria).

Cell lengths 5.823, 5.823, 6.716 Å; angles 64.31, 64.31, 90.00 degrees
Positions (direct):
W1 0.375 0.366 0.750
W2 0.116 0.625 0.250
W3 0.875 0.884 0.750
W4 0.634 0.125 0.250
Rh1 0.750 0.250 0.500
Rh2 0.000 0.000 0.000
As1 0.250 0.750 0.500
As2 0.500 0.500 0.000

Output
**Energy relative to the elements**: 1.128 eV/atom
**SG**: I-42d (122)

***

3.
# As2RhW

As2RhW after structural relaxation (GGA-PBE, Alexandria).

Cell lengths 4.783, 4.783, 4.440 Å; angles 75.95, 75.95, 39.41 degrees
Positions (direct):
As1 0.247 0.247 0.311
As2 0.008 0.008 0.927
Rh1 0.506 0.506 0.431
W1 0.740 0.740 0.831

Output
**Energy relative to the elements**: -0.006 eV/atom
**SG**: Cm (8)

***

4.
# AsRhW2

AsRhW2 after structural relaxation (GGA-PBE, Alexandria).

Cell lengths 9.046, 9.046, 9.046 Å; angles 18.09, 18.09, 18.09 degrees
Positions (direct):
W1 0.000 0.000 0.000
W2 0.500 0.500 0.500
Rh1 0.750 0.750 0.750
As1 0.250 0.250 0.250

Output
**Energy relative to the elements**: 0.220 eV/atom
**SG**: R-3m (166)

***

5.
# As2RhW

As2RhW after structural relaxation (GGA-PBE, Alexandria).

Cell lengths 3.024, 3.121, 7.108 Å; angles 89.98, 90.00, 90.00 degrees
Positions (direct):
As1 0.000 0.250 0.530
As2 0.000 0.250 0.970
Rh1 0.500 0.250 0.250
W1 0.500 0.750 0.750

Output
**Energy relative to the elements**: 0.138 eV/atom
**SG**: Pmmm (47)

***

6.
# As2RhW

As2RhW after structural relaxation (GGA-PBE, Alexandria).

Cell lengths 8.050, 8.050, 8.050 Å; angles 21.84, 21.84, 21.84 degrees
Positions (direct):
Rh1 0.250 0.250 0.250
W1 0.750 0.750 0.750
As1 0.000 0.000 0.000
As2 0.500 0.500 0.500

Output
**Energy relative to the elements**: 0.080 eV/atom
**SG**: R-3m (166)

***

7.
# AsRhW

AsRhW after structural relaxation (GGA-PBE, Alexandria).

Cell lengths 4.711, 4.711, 4.711 Å; angles 144.64, 129.71, 62.97 degrees
Positions (direct):
W1 0.672 0.672 0.000
As1 0.000 0.000 0.000
Rh1 0.328 0.328 0.000

Output
**Energy relative to the elements**: 0.150 eV/atom
**SG**: Imm2 (44)

***

8.
# AsRhW2

AsRhW2 after structural relaxation (GGA-PBE, Alexandria).

Cell lengths 5.248, 5.248, 5.248 Å; angles 146.19, 128.93, 62.66 degrees
Positions (direct):
As1 0.250 0.750 0.500
W1 0.022 0.022 0.000
W2 0.478 0.478 0.000
Rh1 0.750 0.250 0.500

Output
**Energy relative to the elements**: 0.150 eV/atom
**SG**: Immm (71)

***

9.
# As2RhW

As2RhW after structural relaxation (GGA-PBE, Alexandria).

Cell lengths 4.357, 4.357, 3.201 Å; angles 90.00, 90.00, 90.00 degrees
Positions (direct):
As1 0.000 0.000 0.000
As2 0.500 0.500 0.000
Rh1 0.500 0.000 0.500
W1 0.000 0.500 0.500

Output
**Energy relative to the elements**: 0.035 eV/atom
**SG**: P4/mmm (123)

***

10.
# As2RhW

As2RhW after structural relaxation (GGA-PBE, Alexandria).

Cell lengths 5.662, 5.662, 6.755 Å; angles 65.22, 65.22, 90.00 degrees
Positions (direct):
W1 0.000 0.000 0.000
W2 0.750 0.250 0.500
As1 0.619 0.125 0.250
As2 0.375 0.381 0.750
As3 0.875 0.869 0.750
As4 0.131 0.625 0.250
Rh1 0.250 0.750 0.500
Rh2 0.500 0.500 0.000

Output
**Energy relative to the elements**: 0.363 eV/atom
**SG**: I-42d (122)

***

11.
# AsRhW2

AsRhW2 after structural relaxation (GGA-PBE, Alexandria).

Cell lengths 5.015, 5.015, 5.015 Å; angles 135.20, 135.20, 65.22 degrees
Positions (direct):
W1 0.000 0.000 0.000
W2 0.500 0.500 0.000
As1 0.250 0.750 0.500
Rh1 0.750 0.250 0.500

Output
**Energy relative to the elements**: 0.258 eV/atom
**SG**: I4/mmm (139)

***

12.
# AsRhW2

AsRhW2 after structural relaxation (GGA-PBE, Alexandria).

Cell lengths 3.218, 3.218, 6.091 Å; angles 90.00, 90.00, 90.00 degrees
Positions (direct):
W1 0.500 0.500 0.256
W2 0.000 0.000 0.993
Rh1 0.500 0.500 0.764
As1 0.000 0.000 0.487

Output
**Energy relative to the elements**: 0.137 eV/atom
**SG**: P4mm (99)

***

13.
# AsRhW2

AsRhW2 after structural relaxation (GGA-PBE, Alexandria).

Cell lengths 4.922, 4.922, 2.855 Å; angles 90.00, 90.00, 116.32 degrees
Positions (direct):
As1 0.500 0.000 0.500
Rh1 0.000 0.500 0.500
W1 0.000 0.000 0.000
W2 0.500 0.500 0.000

Output
**Energy relative to the elements**: 0.288 eV/atom
**SG**: Cmmm (65)

***

14.
# As2RhW

As2RhW after structural relaxation (GGA-PBE, Alexandria).

Cell lengths 3.029, 5.181, 4.146 Å; angles 90.00, 90.00, 90.00 degrees
Positions (direct):
As1 0.500 0.500 0.000
As2 0.000 0.000 0.000
Rh1 0.500 0.000 0.500
W1 0.000 0.500 0.500

Output
**Energy relative to the elements**: 0.340 eV/atom
**SG**: Pmmm (47)

***

15.
# As2RhW

As2RhW after structural relaxation (GGA-PBE, Alexandria).

Cell lengths 2.862, 2.862, 9.030 Å; angles 90.00, 90.00, 89.99 degrees
Positions (direct):
As1 0.000 0.000 0.933
As2 0.500 0.500 0.326
Rh1 0.000 0.000 0.517
W1 0.500 0.500 0.724

Output
**Energy relative to the elements**: -0.008 eV/atom
**SG**: P4mm (99)

***

16.
# AsRhW

AsRhW after structural relaxation (GGA-PBE, Alexandria).

Cell lengths 4.151, 4.151, 4.151 Å; angles 60.00, 60.00, 60.00 degrees
Each line ends with the local moment (μB).
Positions (direct):
Rh1 0.000 0.000 0.000  0.04
W1 0.500 0.500 0.500  0.08
As1 0.250 0.250 0.250  0.00

Output
**Energy relative to the elements**: 0.314 eV/atom
**SG**: F-43m (216)

***

17.
# As2RhW

As2RhW after structural relaxation (GGA-PBE, Alexandria).

Cell lengths 5.287, 5.287, 5.287 Å; angles 138.96, 138.96, 59.44 degrees
Positions (direct):
Rh1 0.500 0.500 0.000
W1 0.750 0.250 0.500
As1 0.000 0.000 0.000
As2 0.250 0.750 0.500

Output
**Energy relative to the elements**: 0.254 eV/atom
**SG**: I-4m2 (119)

***

18.
# As2RhW

As2RhW after structural relaxation (GGA-PBE, Alexandria).

Cell lengths 4.505, 4.505, 4.505 Å; angles 60.00, 60.00, 60.00 degrees
Positions (direct):
As1 0.000 0.000 0.000
As2 0.250 0.250 0.250
W1 0.750 0.750 0.750
Rh1 0.500 0.500 0.500

Output
**Energy relative to the elements**: 0.451 eV/atom
**SG**: F-43m (216)

***

19.
# AsRhW2

AsRhW2 after structural relaxation (GGA-PBE, Alexandria).

Cell lengths 2.824, 2.824, 8.242 Å; angles 90.00, 90.00, 105.27 degrees
Positions (direct):
As1 0.000 0.000 0.503
Rh1 0.500 0.500 0.752
W1 0.500 0.500 0.252
W2 0.000 0.000 0.993

Output
**Energy relative to the elements**: 0.180 eV/atom
**SG**: Cmm2 (35)

***

20.
# AsRhW

AsRhW after structural relaxation (GGA-PBE, Alexandria).

Cell lengths 2.912, 2.911, 12.758 Å; angles 90.00, 90.00, 120.00 degrees
Positions (direct):
Rh1 0.778 0.556 0.665
Rh2 0.778 0.556 0.335
W1 0.445 0.890 0.500
W2 0.444 0.888 0.000
As1 0.111 0.221 0.838
As2 0.111 0.221 0.162

Output
**Energy relative to the elements**: 0.061 eV/atom
**SG**: P-6m2 (187)

***

21.
# AsRhW2

AsRhW2 after structural relaxation (GGA-PBE, Alexandria).

Cell lengths 5.434, 5.020, 2.813 Å; angles 82.70, 73.57, 117.52 degrees
Positions (direct):
W1 0.000 0.000 0.000
W2 0.500 0.000 0.500
Rh1 0.500 0.500 0.000
As1 0.000 0.500 0.500

Output
**Energy relative to the elements**: 0.268 eV/atom
**SG**: C2/m (12)

***

22.
# AsRhW

AsRhW after structural relaxation (GGA-PBE, Alexandria).

Cell lengths 2.890, 2.890, 6.428 Å; angles 90.00, 90.00, 120.00 degrees
Positions (direct):
Rh1 0.667 0.333 0.334
W1 0.333 0.667 0.663
As1 0.000 0.000 0.003

Output
**Energy relative to the elements**: 0.064 eV/atom
**SG**: P3m1 (156)

***

23.
# As4RhW

As4RhW after structural relaxation (GGA-PBE, Alexandria).

Cell lengths 5.293, 5.293, 5.293 Å; angles 60.00, 60.00, 60.00 degrees
Positions (direct):
As1 0.375 0.375 0.375
As2 0.375 0.875 0.375
As3 0.875 0.375 0.375
As4 0.375 0.375 0.875
W1 0.000 0.000 0.000
Rh1 0.750 0.750 0.750

Output
**Energy relative to the elements**: 0.951 eV/atom
**SG**: F-43m (216)

***

24.
# AsRhW

AsRhW after structural relaxation (GGA-PBE, Alexandria).

Cell lengths 4.331, 4.331, 2.863 Å; angles 90.00, 90.00, 120.00 degrees
Positions (direct):
W1 0.667 0.333 0.801
Rh1 0.333 0.667 0.299
As1 0.000 0.000 0.900

Output
**Energy relative to the elements**: 0.093 eV/atom
**SG**: P3m1 (156)

***

25.
# AsRhW2

AsRhW2 after structural relaxation (GGA-PBE, Alexandria).

Cell lengths 4.888, 4.888, 4.888 Å; angles 132.84, 132.84, 68.91 degrees
Positions (direct):
W1 0.000 0.000 0.000
W2 0.250 0.750 0.500
Rh1 0.750 0.250 0.500
As1 0.500 0.500 0.000

Output
**Energy relative to the elements**: 0.287 eV/atom
**SG**: I-4m2 (119)

***

26.
# Y2As7Rh12

Y2As7Rh12 after structural relaxation (GGA-PBE, Alexandria).

Cell lengths 9.977, 9.977, 3.926 Å; angles 90.00, 90.00, 120.00 degrees
Positions (direct):
Y1 0.333 0.667 0.756
Y2 0.000 0.000 0.254
As1 0.261 0.046 0.756
As2 0.667 0.333 0.507
As3 0.379 0.451 0.254
As4 0.549 0.928 0.254
As5 0.072 0.621 0.254
As6 0.954 0.216 0.756
As7 0.784 0.739 0.756
Rh1 0.285 0.886 0.255
Rh2 0.219 0.267 0.755
Rh3 0.048 0.781 0.755
Rh4 0.114 0.400 0.255
Rh5 0.600 0.715 0.255
Rh6 0.931 0.448 0.758
Rh7 0.815 0.597 0.252
Rh8 0.403 0.218 0.252
Rh9 0.782 0.185 0.252
Rh10 0.518 0.069 0.758
Rh11 0.733 0.952 0.755
Rh12 0.552 0.482 0.758

Output
**Energy relative to the elements**: -0.702 eV/atom
**SG**: P3 (143)

***

27.
# YAs2Rh

YAs2Rh after structural relaxation (GGA-PBE, Alexandria).

Cell lengths 6.338, 6.338, 6.338 Å; angles 146.93, 145.38, 48.63 degrees
Positions (direct):
Y1 0.287 0.787 0.500
Rh1 0.542 0.542 0.000
As1 0.978 0.978 0.000
As2 0.693 0.193 0.500

Output
**Energy relative to the elements**: -0.710 eV/atom
**SG**: Imm2 (44)

***

28.
# YAs2Rh

YAs2Rh after structural relaxation (GGA-PBE, Alexandria).

Cell lengths 4.769, 4.769, 4.769 Å; angles 60.00, 60.00, 60.00 degrees
Positions (direct):
As1 0.000 0.000 0.000
As2 0.250 0.250 0.250
Rh1 0.500 0.500 0.500
Y1 0.750 0.750 0.750

Output
**Energy relative to the elements**: -0.383 eV/atom
**SG**: F-43m (216)